Below is a relaxed structure of SiSe3Br, with properties calculated at the PBE-GGA level.

Cell lengths 4.8916, 4.8916, 4.8916 Å; angles 90.00, 90.00, 90.00 degrees
Sites, in units of the cell vectors:
Si 0.0000 0.0000 0.0000
Se 0.0000 0.0000 0.5000
Se 0.0000 0.5000 0.0000
Se 0.5000 0.0000 0.0000
Br 0.5000 0.5000 0.5000

Values from the calculation:
* formation energy from raw total energies: 443 meV/atom
* total moment: 0.00 μB per atom
* energy: -3.067 eV/atom
* N(E_F): 1.29 states/eV per atom
* energy above the lowest structure with this stoichiometry: 2.843 eV per formula unit
* symmetry: Pm-3m (221)